{
  "formula": "Sm3P2Br2",
  "functional": "PBE-GGA",
  "state": "relaxed",
  "cell": [[4.072, -0.005, 0.001], [-2.031, 6.821, -0.136], [-0.003, -1.178, 7.435]],
  "species": ["Sm", "Sm", "Sm", "P", "P", "Br", "Br"],
  "frac_coords": [[0.762, 0.524, 0.220], [0.000, 0.000, 0.000], [0.238, 0.476, 0.780], [0.625, 0.249, 0.893], [0.375, 0.751, 0.107], [0.129, 0.259, 0.377], [0.871, 0.741, 0.623]],
  "energy_ev_per_cell": -39.2,
  "formation_energy_uncorrected_ev_per_atom": -1.558,
  "density_g_cm3": 5.4,
  "sg": "C2/m (12)"
}

=====

{
  "formula": "Sm2PBr",
  "functional": "PBE-GGA",
  "state": "relaxed",
  "cell": [[-0.600, -0.183, 4.006], [-3.706, -0.752, 1.463], [-0.010, -7.568, 1.705]],
  "species": ["Sm", "Sm", "Br", "P"],
  "frac_coords": [[0.067, 0.067, 0.798], [0.266, 0.266, 0.202], [0.499, 0.499, 0.504], [0.668, 0.668, 0.996]],
  "energy_ev_per_cell": -22.4,
  "formation_energy_uncorrected_ev_per_atom": -1.478,
  "density_g_cm3": 6.5,
  "sg": "R3m (160)"
}